No. 1
This record from the Alexandria database describes Li4HoTl2 after structural relaxation. The functional is PBE.

DOS(E_F) ... 3.91 states/eV/cell
DFT formation energy ... -83 meV/atom
Raw total energy ... -2.51 eV per atom

abc: 3.810 3.810 10.384
angles: 100.57 100.57 90.00
Sites, in units of the cell vectors:
Li1 0.849 0.849 0.698
Li2 0.750 0.250 0.500
Li3 0.151 0.151 0.302
Li4 0.250 0.750 0.500
Tl1 0.394 0.394 0.788
Tl2 0.606 0.606 0.212
Ho1 0.000 0.000 0.000

=====

No. 2
This record from the Alexandria database describes NdEr3Pu2S6 after structural relaxation. The functional is PBE.

DOS(E_F) ... 15.93 states/eV/cell
Raw total energy ... -7.92 eV per atom
ΔE_f (raw) ... -1.931 eV/atom

abc: 6.784 6.784 6.849
angles: 99.49 99.49 120.04
Each line ends with the local moment (μB).
Sites, in units of the cell vectors:
S1 0.087 0.426 0.261  -0.03
S2 0.574 0.913 0.739  -0.03
S3 0.426 0.087 0.261  -0.03
S4 0.748 0.748 0.261  -0.03
S5 0.913 0.574 0.739  -0.03
S6 0.252 0.252 0.739  -0.03
Pu1 0.667 0.333 0.000  5.37
Pu2 0.333 0.667 0.000  5.37
Nd1 0.000 0.000 0.000  0.05
Er1 0.835 0.165 0.500  0.02
Er2 0.500 0.500 0.500  0.02
Er3 0.165 0.835 0.500  0.02

=====

No. 3
This record from the Alexandria database describes PrZnCuAu after structural relaxation. The functional is PBE.

DOS(E_F) ... 2.75 states/eV/cell
Energy above the most stable polymorph in this dataset ... 0 meV per atom
DFT formation energy ... -412 meV/atom
Raw total energy ... -3.77 eV per atom

abc: 4.461 4.461 5.480
angles: 114.13 90.00 120.00
Sites, in units of the cell vectors:
Pr1 0.621 0.242 0.505
Au1 0.831 0.662 0.136
Cu1 0.415 0.829 0.885
Zn1 0.100 0.199 0.941

=====

No. 4
This record from the Alexandria database describes SbOs3 after structural relaxation. The functional is PBE.

DOS(E_F) ... 6.32 states/eV/cell
Raw total energy ... -8.42 eV per atom
ΔE_f (raw) ... 1.033 eV/atom

abc: 5.166 5.166 5.166
angles: 116.53 116.53 116.53
Sites, in units of the cell vectors:
Sb1 0.000 0.500 0.500
Os1 0.000 0.000 0.000
Os2 0.500 0.000 0.500
Os3 0.500 0.500 0.000

=====

No. 5
This record from the Alexandria database describes BaAl2Si after structural relaxation. The functional is PBE.

DOS(E_F) ... 4.42 states/eV/cell
Raw total energy ... -3.78 eV per atom
ΔE_f (raw) ... -0.069 eV/atom

abc: 5.123 5.123 9.566
angles: 74.47 74.47 90.00
Sites, in units of the cell vectors:
Al1 0.375 0.625 0.750
Al2 0.875 0.625 0.750
Al3 0.375 0.125 0.250
Al4 0.375 0.625 0.250
Si1 0.500 0.500 0.000
Si2 0.250 0.750 0.500
Ba1 0.750 0.250 0.500
Ba2 0.000 0.000 0.000

=====

No. 6
This record from the Alexandria database describes LiMg2Ga8 after structural relaxation. The functional is PBE.

DOS(E_F) ... 3.16 states/eV/cell
DFT formation energy ... -31 meV/atom
Raw total energy ... -2.70 eV per atom

abc: 3.980 7.450 8.589
angles: 64.30 82.36 72.15
Sites, in units of the cell vectors:
Ga1 0.500 0.819 0.362
Ga2 0.880 0.102 0.196
Ga3 0.120 0.898 0.804
Ga4 0.120 0.702 0.196
Ga5 0.692 0.625 0.000
Ga6 0.880 0.298 0.804
Ga7 0.308 0.375 0.000
Ga8 0.500 0.181 0.638
Mg1 0.000 0.689 0.622
Mg2 0.000 0.311 0.378
Li1 0.500 0.000 0.000

=====

No. 7
This record from the Alexandria database describes CaSeN2Cl after structural relaxation. The functional is PBE.

DOS(E_F) ... 3.18 states/eV/cell
Energy above the most stable polymorph in this dataset ... 70 meV per atom
Raw total energy ... -3.47 eV per atom
ΔE_f (raw) ... 1.326 eV/atom

abc: 4.615 4.615 6.013
angles: 90.00 90.00 90.00
Each line ends with the local moment (μB).
Sites, in units of the cell vectors:
Cl1 0.500 0.500 0.500  0.06
Se1 0.000 0.000 0.500  0.08
N1 0.500 0.000 0.000  1.49
N2 0.000 0.500 0.000  1.49
Ca1 0.000 0.000 0.000  0.04